(1)
VASP calculation (PBE-GGA) on a relaxed structure of TbPmPr2Sm4.

Computed properties:
The energy of formation from the pure elements is 14 meV/atom. The crystal system is monoclinic.

CIF file:
```
data_TbPmPr2Sm4
_chemical_formula_sum 'Tb1 Pm1 Pr2 Sm4'
_cell_length_a 5.1506
_cell_length_b 5.1557
_cell_length_c 10.3052
_cell_angle_alpha 90.00
_cell_angle_beta 90.13
_cell_angle_gamma 90.00
_symmetry_space_group_name_H-M 'P 1 2/m 1'
_symmetry_Int_Tables_number 10
_symmetry_space_group_name_Hall '-P 2y'
loop_
_atom_site_label
_atom_site_fract_x
_atom_site_fract_y
_atom_site_fract_z
_atom_site_occupancy
Tb1 0.0000 0.0000 0.0000 1
Pm1 0.5000 0.5000 0.5000 1
Pr1 0.0000 0.0000 0.5000 1
Pr2 0.5000 0.5000 0.0000 1
Sm1 0.0000 0.5000 0.2488 1
Sm2 0.4997 0.0000 0.2484 1
```

(2)
VASP calculation (PBE-GGA) on a relaxed structure of AlRuS.

Computed properties:
For the formation energy without anion corrections, the calculation gives -134.2 kJ/mol of formula units. The crystal system is monoclinic. The value obtained for the excess energy over the best structure of this formula in the dataset is 41.2 meV/atom.

CIF file:
```
data_AlRuS
_chemical_formula_sum 'Al4 Ru4 S4'
_cell_length_a 11.8008
_cell_length_b 3.0406
_cell_length_c 5.2579
_cell_angle_alpha 90.00
_cell_angle_beta 101.33
_cell_angle_gamma 90.00
_symmetry_space_group_name_H-M 'C 1 m 1'
_symmetry_Int_Tables_number 8
_symmetry_space_group_name_Hall 'C -2y'
loop_
_atom_site_label
_atom_site_fract_x
_atom_site_fract_y
_atom_site_fract_z
_atom_site_occupancy
Al1 0.0000 0.0000 0.0000 1
Al2 0.1262 0.5000 0.4601 1
Ru1 0.1858 0.0000 0.8569 1
Ru2 0.4508 0.5000 0.4467 1
S1 0.2600 0.5000 0.1836 1
S2 0.3715 0.0000 0.7191 1
```

(3)
VASP calculation (PBE-GGA) on a relaxed structure of OsRh2Br.

Computed properties:
For the formation energy without anion corrections, the calculation gives 343.7 kJ/mol of formula units. The crystal system is orthorhombic. The value obtained for the excess energy over the best structure of this formula in the dataset is 420.3 meV/atom.

CIF file:
```
data_OsRh2Br
_chemical_formula_sum 'Os2 Rh4 Br2'
_cell_length_a 2.8286
_cell_length_b 4.7374
_cell_length_c 9.4247
_cell_angle_alpha 90.00
_cell_angle_beta 90.00
_cell_angle_gamma 90.00
_symmetry_space_group_name_H-M 'I m m m'
_symmetry_Int_Tables_number 71
_symmetry_space_group_name_Hall '-I 2 2'
loop_
_atom_site_label
_atom_site_fract_x
_atom_site_fract_y
_atom_site_fract_z
_atom_site_occupancy
Os1 0.0000 0.0000 0.0000 1
Rh1 0.0000 0.5000 0.2604 1
Br1 0.0000 0.0000 0.5000 1
```

(4)
VASP calculation (PBE-GGA) on a relaxed structure of Rb3Tb3PuTe8.

Computed properties:
For the formation energy without anion corrections, the calculation gives -1830.6 kJ/mol of formula units. The crystal system is trigonal.

CIF file:
```
data_Rb3Tb3PuTe8
_chemical_formula_sum 'Rb9 Tb9 Pu3 Te24'
_cell_length_a 8.9710
_cell_length_b 8.9710
_cell_length_c 26.1487
_cell_angle_alpha 90.00
_cell_angle_beta 90.00
_cell_angle_gamma 120.00
_symmetry_space_group_name_H-M 'R -3 m'
_symmetry_Int_Tables_number 166
_symmetry_space_group_name_Hall '-R 3 2"'
loop_
_atom_site_label
_atom_site_fract_x
_atom_site_fract_y
_atom_site_fract_z
_atom_site_occupancy
Rb1 0.0000 0.5000 0.0000 1
Tb1 0.0000 0.5000 0.5000 1
Pu1 0.0000 0.0000 0.5000 1
Te1 0.0000 0.0000 0.2334 1
Te2 0.0010 0.5005 0.2322 1
```

(5)
VASP calculation (PBE-GGA) on a relaxed structure of Tb3ErIn3Te8.

Computed properties:
For the formation energy without anion corrections, the calculation gives -1461.3 kJ/mol of formula units. The crystal system is trigonal.

CIF file:
```
data_Tb3ErIn3Te8
_chemical_formula_sum 'Tb9 Er3 In9 Te24'
_cell_length_a 8.7763
_cell_length_b 8.7763
_cell_length_c 23.6754
_cell_angle_alpha 90.00
_cell_angle_beta 90.00
_cell_angle_gamma 120.00
_symmetry_space_group_name_H-M 'R -3 m'
_symmetry_Int_Tables_number 166
_symmetry_space_group_name_Hall '-R 3 2"'
loop_
_atom_site_label
_atom_site_fract_x
_atom_site_fract_y
_atom_site_fract_z
_atom_site_occupancy
Tb1 0.0000 0.5000 0.0000 1
Er1 0.0000 0.0000 0.0000 1
In1 0.0000 0.5000 0.5000 1
Te1 0.0000 0.0000 0.2574 1
Te2 0.0017 0.5009 0.7416 1
```

(6)
VASP calculation (PBE-GGA) on a relaxed structure of Zn2PBr.

Computed properties:
For the formation energy without anion corrections, the calculation gives -20.4 kJ/mol of formula units. The crystal system is orthorhombic. The value obtained for the excess energy over the best structure of this formula in the dataset is 400.8 meV/atom.

CIF file:
```
data_Zn2PBr
_chemical_formula_sum 'Zn4 P2 Br2'
_cell_length_a 3.3879
_cell_length_b 3.6368
_cell_length_c 14.2868
_cell_angle_alpha 90.00
_cell_angle_beta 90.00
_cell_angle_gamma 90.00
_symmetry_space_group_name_H-M 'I m m 2'
_symmetry_Int_Tables_number 44
_symmetry_space_group_name_Hall 'I 2 -2'
loop_
_atom_site_label
_atom_site_fract_x
_atom_site_fract_y
_atom_site_fract_z
_atom_site_occupancy
Zn1 0.0000 0.0000 0.0000 1
Zn2 0.0000 0.5000 0.1597 1
P1 0.0000 0.5000 0.6352 1
Br1 0.0000 0.0000 0.4030 1
```

no.,D(E_F) (states/eV/f.u.)
1,11.31
2,0.10
3,6.15
4,14.13
5,5.59
6,0.93